(1)
Here is NaIn5Pb6 after structural relaxation from Alexandria via LeMat-Bulk. Energies are from PBE.

Unit cell a=7.9350 b=7.9350 c=9.8229 alpha=90.00 beta=90.00 gamma=145.37
Positions (direct):
Na  0.0000  0.0000  0.0000
In  0.0000  0.0000  0.5000
In  0.3326  0.6674  0.0000
In  0.3344  0.6656  0.5000
In  0.6656  0.3344  0.5000
In  0.6674  0.3326  0.0000
Pb  0.1663  0.8337  0.2482
Pb  0.1663  0.8337  0.7518
Pb  0.5000  0.5000  0.2510
Pb  0.5000  0.5000  0.7490
Pb  0.8337  0.1663  0.2482
Pb  0.8337  0.1663  0.7518



(2)
Here is NaInPb after structural relaxation from Alexandria via LeMat-Bulk. Energies are from PBE.

Unit cell a=6.3773 b=6.3773 c=8.7659 alpha=90.00 beta=90.00 gamma=90.00
Positions (direct):
Na  0.0000  0.2424  0.0000
Na  0.0000  0.7576  0.5000
Na  0.2424  0.0000  0.7500
Na  0.7576  0.0000  0.2500
In  0.2703  0.2703  0.3750
In  0.2703  0.7297  0.1250
In  0.7297  0.2703  0.6250
In  0.7297  0.7297  0.8750
Pb  0.2371  0.5000  0.7500
Pb  0.5000  0.2371  0.0000
Pb  0.5000  0.7629  0.5000
Pb  0.7629  0.5000  0.2500



(3)
Here is NaIn4Pb6 after structural relaxation from Alexandria via LeMat-Bulk. Energies are from PBE.

Unit cell a=9.3183 b=9.3183 c=4.7197 alpha=90.00 beta=90.00 gamma=120.00
Positions (direct):
Na  0.0000  0.0000  0.0000
In  0.3333  0.6667  0.0000
In  0.3837  0.1918  0.5000
In  0.8082  0.1918  0.5000
In  0.8082  0.6163  0.5000
Pb  0.1977  0.3953  0.5000
Pb  0.1977  0.8023  0.5000
Pb  0.5326  0.0652  0.0000
Pb  0.5326  0.4674  0.0000
Pb  0.6047  0.8023  0.5000
Pb  0.9348  0.4674  0.0000



(4)
Here is Na3In3Pb2 after structural relaxation from Alexandria via LeMat-Bulk. Energies are from PBE.

Unit cell a=6.0954 b=6.0954 c=6.0954 alpha=90.18 beta=90.18 gamma=90.18
Positions (direct):
Na  0.0000  0.2531  0.7469
Na  0.2531  0.7469  0.0000
Na  0.7469  0.0000  0.2531
In  0.2546  0.7454  0.5000
In  0.5000  0.2546  0.7454
In  0.7454  0.5000  0.2546
Pb  0.2541  0.2541  0.2541
Pb  0.7459  0.7459  0.7459



(5)
Here is NaIn6Pb12 after structural relaxation from Alexandria via LeMat-Bulk. Energies are from PBE.

Unit cell a=9.1971 b=9.1971 c=9.1971 alpha=110.69 beta=110.69 gamma=110.69
Positions (direct):
Na  0.0000  0.0000  0.0000
In  0.2158  0.4710  0.3191
In  0.3191  0.2158  0.4710
In  0.4710  0.3191  0.2158
In  0.5290  0.6809  0.7842
In  0.6809  0.7842  0.5290
In  0.7842  0.5290  0.6809
Pb  0.0614  0.3749  0.5833
Pb  0.1021  0.7349  0.1555
Pb  0.1555  0.1021  0.7349
Pb  0.2651  0.8445  0.8979
Pb  0.3749  0.5833  0.0614
Pb  0.4167  0.9386  0.6251
Pb  0.5833  0.0614  0.3749
Pb  0.6251  0.4167  0.9386
Pb  0.7349  0.1555  0.1021
Pb  0.8445  0.8979  0.2651
Pb  0.8979  0.2651  0.8445
Pb  0.9386  0.6251  0.4167



(6)
Here is Na3In7Pb after structural relaxation from Alexandria via LeMat-Bulk. Energies are from PBE.

Unit cell a=12.6072 b=12.6072 c=10.5243 alpha=90.00 beta=90.00 gamma=157.47
Positions (direct):
Na  0.1291  0.8709  0.5851
Na  0.1291  0.8709  0.9149
Na  0.1753  0.8247  0.2500
Na  0.8247  0.1753  0.7500
Na  0.8709  0.1291  0.0851
Na  0.8709  0.1291  0.4149
In  0.2643  0.7357  0.5848
In  0.2643  0.7357  0.9152
In  0.3053  0.6947  0.2500
In  0.3911  0.6089  0.6086
In  0.3911  0.6089  0.8914
In  0.4653  0.5347  0.1132
In  0.4653  0.5347  0.3868
In  0.5347  0.4653  0.6132
In  0.5347  0.4653  0.8868
In  0.6089  0.3911  0.1086
In  0.6089  0.3911  0.3914
In  0.6947  0.3053  0.7500
In  0.7357  0.2643  0.0848
In  0.7357  0.2643  0.4152
Pb  0.0367  0.9633  0.2500
Pb  0.9633  0.0367  0.7500



(7)
Here is NaInPb6 after structural relaxation from Alexandria via LeMat-Bulk. Energies are from PBE.

Unit cell a=6.4677 b=6.4677 c=6.4677 alpha=86.44 beta=86.44 gamma=86.44
Positions (direct):
Na  0.0000  0.0000  0.0000
In  0.5000  0.5000  0.5000
Pb  0.1610  0.1610  0.5420
Pb  0.1610  0.5420  0.1610
Pb  0.4580  0.8390  0.8390
Pb  0.5420  0.1610  0.1610
Pb  0.8390  0.4580  0.8390
Pb  0.8390  0.8390  0.4580



(8)
Here is Na2In5Pb3 after structural relaxation from Alexandria via LeMat-Bulk. Energies are from PBE.

Unit cell a=9.6501 b=9.6501 c=6.3889 alpha=90.12 beta=90.12 gamma=104.58
Positions (direct):
Na  0.1237  0.6253  0.6263
Na  0.3747  0.8763  0.8737
Na  0.6253  0.1237  0.1263
Na  0.8763  0.3747  0.3737
In  0.0436  0.9564  0.7500
In  0.2058  0.2907  0.4882
In  0.2326  0.5202  0.1366
In  0.2907  0.2058  0.9882
In  0.4798  0.7674  0.3634
In  0.5202  0.2326  0.6366
In  0.7093  0.7942  0.0118
In  0.7674  0.4798  0.8634
In  0.7942  0.7093  0.5118
In  0.9564  0.0436  0.2500
Pb  0.0165  0.7268  0.1259
Pb  0.2732  0.9835  0.3741
Pb  0.4542  0.5458  0.7500
Pb  0.5458  0.4542  0.2500
Pb  0.7268  0.0165  0.6259
Pb  0.9835  0.2732  0.8741



(9)
Here is NaIn5Pb after structural relaxation from Alexandria via LeMat-Bulk. Energies are from PBE.

Unit cell a=6.9943 b=6.9943 c=6.9943 alpha=129.69 beta=126.70 gamma=76.33
Positions (direct):
Na  0.0000  0.0000  0.0000
In  0.0009  0.2608  0.7401
In  0.4746  0.2214  0.7469
In  0.4746  0.7277  0.2531
In  0.5207  0.2608  0.2599
In  0.7263  0.7263  0.0000
Pb  0.1465  0.6465  0.5000



(10)
Here is NaInPb after structural relaxation from Alexandria via LeMat-Bulk. Energies are from PBE.

Unit cell a=3.8786 b=4.9206 c=5.5005 alpha=90.00 beta=90.00 gamma=90.00
Positions (direct):
Na  0.0000  0.0000  0.0000
In  0.0000  0.5000  0.5000
Pb  0.5000  0.0000  0.5000



(11)
Here is NaIn6Pb2 after structural relaxation from Alexandria via LeMat-Bulk. Energies are from PBE.

Unit cell a=10.9245 b=10.9245 c=10.9245 alpha=162.99 beta=135.42 gamma=48.04
Positions (direct):
Na  0.0000  0.0000  0.0000
In  0.0505  0.3594  0.6911
In  0.3299  0.5000  0.8299
In  0.3317  0.6406  0.6911
In  0.6683  0.3594  0.3089
In  0.6701  0.5000  0.1701
In  0.9495  0.6406  0.3089
Pb  0.2860  0.7860  0.5000
Pb  0.7140  0.2140  0.5000



(12)
Here is Na5InPb6 after structural relaxation from Alexandria via LeMat-Bulk. Energies are from PBE.

Unit cell a=4.8836 b=9.8051 c=7.5680 alpha=90.00 beta=107.93 gamma=90.00
Positions (direct):
Na  0.0000  0.0000  0.0000
Na  0.3345  0.0000  0.6683
Na  0.3375  0.5000  0.6731
Na  0.6625  0.5000  0.3269
Na  0.6655  0.0000  0.3317
In  0.0000  0.5000  0.0000
Pb  0.1657  0.2539  0.3341
Pb  0.1657  0.7461  0.3341
Pb  0.5000  0.2504  0.0000
Pb  0.5000  0.7496  0.0000
Pb  0.8343  0.2539  0.6659
Pb  0.8343  0.7461  0.6659



Number 1: energy relative to the elements -0.013 eV per atom, size of the total moment 0.000 μB/atom. Number 2: energy relative to the elements 0.003 eV per atom, size of the total moment 0.000 μB/atom. Number 3: energy relative to the elements 0.051 eV per atom, size of the total moment 0.000 μB/atom. Number 4: energy relative to the elements -0.091 eV per atom, size of the total moment 0.000 μB/atom. Number 5: energy relative to the elements -0.006 eV per atom, size of the total moment 0.000 μB/atom. Number 6: energy relative to the elements -0.016 eV per atom, size of the total moment 0.000 μB/atom. Number 7: energy relative to the elements 0.130 eV per atom, size of the total moment 0.000 μB/atom. Number 8: energy relative to the elements -0.054 eV per atom, size of the total moment 0.000 μB/atom. Number 9: energy relative to the elements 0.058 eV per atom, size of the total moment 0.000 μB/atom. Number 10: energy relative to the elements 0.033 eV per atom, size of the total moment 0.000 μB/atom. Number 11: energy relative to the elements 0.053 eV per atom, size of the total moment 0.000 μB/atom. Number 12: energy relative to the elements -0.125 eV per atom, size of the total moment 0.000 μB/atom.